DFT (PBEsol) results for a geometry-optimized KTa2Se structure.

a b c (Å): 3.9999 3.9999 5.2048
angles (deg): 90.00 90.00 90.00
Closest atoms and distances in Å follow each position.
Positions (direct):
K1 0.5000 0.5000 0.5000  4 Se 2.83
Se1 0.0000 0.0000 0.5000  4 K 2.83
Ta1 0.0000 0.5000 0.0000  4 Ta 2.83
Ta2 0.5000 0.0000 0.0000  4 Ta 2.83

Properties
- N(E_F) (states/eV per cell) = 4.62
- size of the total moment (μB per formula unit) = 0.001
- E (eV/atom) = -6.52